The following is a PBE calculation of a geometry-optimized KTmPdCl6 structure, from Alexandria via LeMat-Bulk.

Its space-group type is P312 (149). The value obtained for the uncorrected energy is -4.00 eV per atom. As for the raw formation energy: -1569 meV per atom.

Unit cell a=6.671 b=6.671 c=7.085 alpha=90.00 beta=90.00 gamma=120.00
Atoms (fractional coordinates):
K 0.000 0.000 0.000
Tm 0.667 0.333 0.500
Pd 0.333 0.667 0.500
Cl 0.007 0.370 0.709
Cl 0.007 0.637 0.291
Cl 0.363 0.370 0.291
Cl 0.363 0.993 0.709
Cl 0.630 0.637 0.709
Cl 0.630 0.993 0.291

---

The following is a PBE calculation of a geometry-optimized EuHoSi structure, from Alexandria via LeMat-Bulk.

Its space-group type is F-43m (216). The value obtained for the uncorrected energy is -7.12 eV per atom. As for the raw formation energy: -365 meV per atom.

Unit cell a=4.974 b=4.974 c=4.974 alpha=60.00 beta=60.00 gamma=60.00
Atoms (fractional coordinates):
Eu 0.000 0.000 0.000
Ho 0.500 0.500 0.500
Si 0.250 0.250 0.250

---

The following is a PBE calculation of a geometry-optimized Dy5TaN6 structure, from Alexandria via LeMat-Bulk.

Its space-group type is C2/m (12). The value obtained for the uncorrected energy is -8.69 eV per atom. As for the raw formation energy: -1618 meV per atom.

Unit cell a=5.877 b=5.877 c=5.869 alpha=99.64 beta=99.64 gamma=119.91
Atoms (fractional coordinates):
Dy 0.000 0.000 0.000
Dy 0.167 0.833 0.500
Dy 0.334 0.666 0.000
Dy 0.666 0.334 0.000
Dy 0.833 0.167 0.500
Ta 0.500 0.500 0.500
N 0.112 0.422 0.266
N 0.268 0.268 0.737
N 0.422 0.112 0.266
N 0.578 0.888 0.734
N 0.732 0.732 0.263
N 0.888 0.578 0.734

---

The following is a PBE calculation of a geometry-optimized LuPuCrTc structure, from Alexandria via LeMat-Bulk.

Its space-group type is F-43m (216). The value obtained for the uncorrected energy is -9.59 eV per atom. The calculation puts the formation energy from the elements at 118 meV/atom.

Unit cell a=4.762 b=4.762 c=4.762 alpha=60.00 beta=60.00 gamma=60.00
Atoms (fractional coordinates):
Lu 0.000 0.000 0.000
Pu 0.500 0.500 0.500
Cr 0.250 0.250 0.250
Tc 0.750 0.750 0.750